[1]
Below is a relaxed structure of CsSbN2F, with properties calculated at the PBE level.

Output
relative energy among the computed polymorphs	0	meV/atom
DFT total energy	-4.690	eV/atom
ΔE_f (raw)	0.009	eV/atom

Unit cell a=4.126 b=4.126 c=5.179 alpha=90.00 beta=90.00 gamma=90.00
Space group P4/mmm (No. 123)
Symmetry-distinct sites (fractional):
1 Cs 0.000 0.000 0.000 x1
2 Sb 0.500 0.500 0.500 x1
3 N 0.000 0.500 0.500 x2
4 F 0.500 0.500 0.000 x1

=====

[2]
Below is a relaxed structure of CsSbN2F, with properties calculated at the PBE level.

Output
relative energy among the computed polymorphs	1668	meV/atom
DFT total energy	-3.022	eV/atom
ΔE_f (raw)	1.677	eV/atom

Unit cell a=4.454 b=4.454 c=4.902 alpha=90.00 beta=90.00 gamma=90.00
Space group P4/mmm (No. 123)
Symmetry-distinct sites (fractional):
1 Cs 0.000 0.000 0.000 x1
2 Sb 0.500 0.500 0.500 x1
3 N 0.000 0.500 0.000 x2
4 F 0.000 0.000 0.500 x1

=====

[3]
Below is a relaxed structure of Cs2SbNF6, with properties calculated at the PBE level.

Output
DFT total energy	-4.344	eV/atom
ΔE_f (raw)	-1.805	eV/atom

Unit cell a=6.780 b=6.780 c=9.627 alpha=90.00 beta=90.00 gamma=90.00
Space group I4/mmm (No. 139)
Symmetry-distinct sites (fractional):
1 Cs 0.000 0.500 0.250 x4
2 Sb 0.000 0.000 0.000 x2
3 N 0.000 0.000 0.500 x2
4 F 0.000 0.000 0.213 x4
5 F 0.214 0.214 0.000 x8

=====

[4]
Below is a relaxed structure of CsSbNF2, with properties calculated at the PBE level.

Output
relative energy among the computed polymorphs	1627	meV/atom
DFT total energy	-3.000	eV/atom
ΔE_f (raw)	0.409	eV/atom

Unit cell a=5.179 b=5.179 c=4.801 alpha=90.00 beta=90.00 gamma=90.00
Space group P4/mmm (No. 123)
Symmetry-distinct sites (fractional):
1 Cs 0.000 0.000 0.000 x1
2 Sb 0.500 0.500 0.500 x1
3 N 0.000 0.000 0.500 x1
4 F 0.000 0.500 0.000 x2

=====

[5]
Below is a relaxed structure of CsScN2F, with properties calculated at the PBE level.

Output
relative energy among the computed polymorphs	0	meV/atom
DFT total energy	-5.817	eV/atom
ΔE_f (raw)	-0.676	eV/atom

Unit cell a=4.470 b=4.470 c=4.397 alpha=90.00 beta=90.00 gamma=90.00
Space group P4/mmm (No. 123)
Symmetry-distinct sites (fractional):
1 Cs 0.000 0.000 0.000 x1
2 Sc 0.500 0.500 0.500 x1
3 N 0.000 0.500 0.500 x2
4 F 0.500 0.500 0.000 x1

=====

[6]
Below is a relaxed structure of CsScN2F, with properties calculated at the PBE level.

Output
relative energy among the computed polymorphs	1864	meV/atom
DFT total energy	-3.954	eV/atom
ΔE_f (raw)	1.188	eV/atom

Unit cell a=4.418 b=4.418 c=4.804 alpha=90.00 beta=90.00 gamma=90.00
Space group P4/mmm (No. 123)
Symmetry-distinct sites (fractional):
1 Cs 0.000 0.000 0.000 x1
2 Sc 0.500 0.500 0.500 x1
3 N 0.000 0.500 0.000 x2
4 F 0.000 0.000 0.500 x1

=====

[7]
Below is a relaxed structure of CsSeNF2, with properties calculated at the PBE level.

Output
relative energy among the computed polymorphs	1443	meV/atom
DFT total energy	-2.678	eV/atom
ΔE_f (raw)	0.603	eV/atom

Unit cell a=5.390 b=5.390 c=5.029 alpha=90.00 beta=90.00 gamma=90.00
Space group P4/mmm (No. 123)
Symmetry-distinct sites (fractional):
1 Cs 0.000 0.000 0.000 x1
2 Se 0.500 0.500 0.500 x1
3 N 0.000 0.000 0.500 x1
4 F 0.000 0.500 0.000 x2

=====

[8]
Below is a relaxed structure of Cs2SeNF6, with properties calculated at the PBE level.

Output
DFT total energy	-4.020	eV/atom
ΔE_f (raw)	-1.546	eV/atom

Unit cell a=6.687 b=6.687 c=9.517 alpha=90.00 beta=90.00 gamma=90.00
Space group I4/mmm (No. 139)
Symmetry-distinct sites (fractional):
1 Cs 0.000 0.500 0.250 x4
2 Se 0.000 0.000 0.000 x2
3 N 0.000 0.000 0.500 x2
4 F 0.000 0.000 0.207 x4
5 F 0.208 0.208 0.000 x8

=====

[9]
Below is a relaxed structure of CsSeNF2, with properties calculated at the PBE level.

Output
relative energy among the computed polymorphs	0	meV/atom
DFT total energy	-4.121	eV/atom
ΔE_f (raw)	-0.840	eV/atom

Unit cell a=4.884 b=4.884 c=3.758 alpha=90.00 beta=90.00 gamma=90.00
Space group P4/mmm (No. 123)
Symmetry-distinct sites (fractional):
1 Cs 0.000 0.000 0.000 x1
2 Se 0.500 0.500 0.500 x1
3 N 0.500 0.500 0.000 x1
4 F 0.000 0.500 0.500 x2

=====

[10]
Below is a relaxed structure of Cs2SiNF6, with properties calculated at the PBE level.

Output
DFT total energy	-4.989	eV/atom
ΔE_f (raw)	-2.321	eV/atom

Unit cell a=6.486 b=6.486 c=9.196 alpha=90.00 beta=90.00 gamma=90.00
Space group I4/mmm (No. 139)
Symmetry-distinct sites (fractional):
1 Cs 0.000 0.500 0.250 x4
2 Si 0.000 0.000 0.000 x2
3 N 0.000 0.000 0.500 x2
4 F 0.000 0.000 0.187 x4
5 F 0.188 0.188 0.000 x8

=====

[11]
Below is a relaxed structure of CsSiNF2, with properties calculated at the PBE level.

Output
relative energy among the computed polymorphs	0	meV/atom
DFT total energy	-5.146	eV/atom
ΔE_f (raw)	-1.477	eV/atom

Unit cell a=4.705 b=4.705 c=3.301 alpha=90.00 beta=90.00 gamma=90.00
Space group P4/mmm (No. 123)
Symmetry-distinct sites (fractional):
1 Cs 0.000 0.000 0.000 x1
2 Si 0.500 0.500 0.500 x1
3 N 0.500 0.500 0.000 x1
4 F 0.000 0.500 0.500 x2

=====

[12]
Below is a relaxed structure of CsSiNF2, with properties calculated at the PBE level.

Output
relative energy among the computed polymorphs	2169	meV/atom
DFT total energy	-2.977	eV/atom
ΔE_f (raw)	0.691	eV/atom

Unit cell a=5.086 b=5.086 c=4.492 alpha=90.00 beta=90.00 gamma=90.00
Space group P4/mmm (No. 123)
Symmetry-distinct sites (fractional):
1 Cs 0.000 0.000 0.000 x1
2 Si 0.500 0.500 0.500 x1
3 N 0.000 0.000 0.500 x1
4 F 0.000 0.500 0.000 x2

=====

[13]
Below is a relaxed structure of CsSrNF2, with properties calculated at the PBE level.

Output
DFT total energy	-3.755	eV/atom
ΔE_f (raw)	-0.835	eV/atom

Unit cell a=5.094 b=5.094 c=4.541 alpha=90.00 beta=90.00 gamma=90.00
Space group P4/mmm (No. 123)
Symmetry-distinct sites (fractional):
1 Cs 0.000 0.000 0.000 x1
2 Sr 0.500 0.500 0.500 x1
3 N 0.000 0.000 0.500 x1
4 F 0.000 0.500 0.000 x2

=====

[14]
Below is a relaxed structure of CsTaN2F, with properties calculated at the PBE level.

Output
relative energy among the computed polymorphs	3206	meV/atom
DFT total energy	-3.927	eV/atom
ΔE_f (raw)	2.318	eV/atom

Unit cell a=4.406 b=4.406 c=4.778 alpha=90.00 beta=90.00 gamma=90.00
Space group P4/mmm (No. 123)
Symmetry-distinct sites (fractional):
1 Cs 0.000 0.000 0.000 x1
2 Ta 0.500 0.500 0.500 x1
3 N 0.000 0.500 0.000 x2
4 F 0.000 0.000 0.500 x1

=====

[15]
Below is a relaxed structure of CsTaN2F, with properties calculated at the PBE level.

Output
relative energy among the computed polymorphs	0	meV/atom
DFT total energy	-7.133	eV/atom
ΔE_f (raw)	-0.887	eV/atom

Unit cell a=4.137 b=4.137 c=4.619 alpha=90.00 beta=90.00 gamma=90.00
Space group P4/mmm (No. 123)
Symmetry-distinct sites (fractional):
1 Cs 0.000 0.000 0.000 x1
2 Ta 0.500 0.500 0.500 x1
3 N 0.000 0.500 0.500 x2
4 F 0.500 0.500 0.000 x1

=====

[16]
Below is a relaxed structure of CsTaNF2, with properties calculated at the PBE level.

Output
relative energy among the computed polymorphs	0	meV/atom
DFT total energy	-6.614	eV/atom
ΔE_f (raw)	-1.659	eV/atom

Unit cell a=4.509 b=4.509 c=4.032 alpha=90.00 beta=90.00 gamma=90.00
Space group P4/mmm (No. 123)
Symmetry-distinct sites (fractional):
1 Cs 0.000 0.000 0.000 x1
2 Ta 0.500 0.500 0.500 x1
3 N 0.500 0.500 0.000 x1
4 F 0.000 0.500 0.500 x2

=====

[17]
Below is a relaxed structure of CsTaNF2, with properties calculated at the PBE level.

Output
relative energy among the computed polymorphs	2842	meV/atom
DFT total energy	-3.773	eV/atom
ΔE_f (raw)	1.182	eV/atom

Unit cell a=5.022 b=5.022 c=4.455 alpha=90.00 beta=90.00 gamma=90.00
Space group P4/mmm (No. 123)
Symmetry-distinct sites (fractional):
1 Cs 0.000 0.000 0.000 x1
2 Ta 0.500 0.500 0.500 x1
3 N 0.000 0.000 0.500 x1
4 F 0.000 0.500 0.000 x2

=====

[18]
Below is a relaxed structure of CsTcNF2, with properties calculated at the PBE level.

Output
DFT total energy	-3.700	eV/atom
ΔE_f (raw)	0.958	eV/atom

Unit cell a=5.050 b=5.050 c=4.466 alpha=90.00 beta=90.00 gamma=90.00
Space group P4/mmm (No. 123)
Symmetry-distinct sites (fractional):
1 Cs 0.000 0.000 0.000 x1
2 Tc 0.500 0.500 0.500 x1
3 N 0.000 0.000 0.500 x1
4 F 0.000 0.500 0.000 x2

=====

[19]
Below is a relaxed structure of CsTcN2F, with properties calculated at the PBE level.

Output
relative energy among the computed polymorphs	0	meV/atom
DFT total energy	-6.252	eV/atom
ΔE_f (raw)	-0.304	eV/atom

Unit cell a=3.932 b=3.932 c=5.003 alpha=90.00 beta=90.00 gamma=90.00
Space group P4/mmm (No. 123)
Symmetry-distinct sites (fractional):
1 Cs 0.000 0.000 0.000 x1
2 Tc 0.500 0.500 0.500 x1
3 N 0.000 0.500 0.500 x2
4 F 0.500 0.500 0.000 x1

=====

[20]
Below is a relaxed structure of CsTcN2F, with properties calculated at the PBE level.

Output
relative energy among the computed polymorphs	2552	meV/atom
DFT total energy	-3.700	eV/atom
ΔE_f (raw)	2.248	eV/atom

Unit cell a=4.408 b=4.408 c=4.925 alpha=90.00 beta=90.00 gamma=90.00
Space group P4/mmm (No. 123)
Symmetry-distinct sites (fractional):
1 Cs 0.000 0.000 0.000 x1
2 Tc 0.500 0.500 0.500 x1
3 N 0.000 0.500 0.000 x2
4 F 0.000 0.000 0.500 x1

=====

[21]
Below is a relaxed structure of CsTeN2F, with properties calculated at the PBE level.

Output
relative energy among the computed polymorphs	1682	meV/atom
DFT total energy	-2.675	eV/atom
ΔE_f (raw)	1.828	eV/atom

Unit cell a=4.499 b=4.499 c=4.877 alpha=90.00 beta=90.00 gamma=90.00
Space group P4/mmm (No. 123)
Symmetry-distinct sites (fractional):
1 Cs 0.000 0.000 0.000 x1
2 Te 0.500 0.500 0.500 x1
3 N 0.000 0.500 0.000 x2
4 F 0.000 0.000 0.500 x1

=====

[22]
Below is a relaxed structure of CsTeN2F, with properties calculated at the PBE level.

Output
relative energy among the computed polymorphs	2000	meV/atom
DFT total energy	-2.358	eV/atom
ΔE_f (raw)	2.145	eV/atom

Unit cell a=4.408 b=4.408 c=7.814 alpha=90.00 beta=90.00 gamma=90.00
Space group P4/mmm (No. 123)
Symmetry-distinct sites (fractional):
1 Cs 0.000 0.000 0.000 x1
2 Te 0.000 0.000 0.500 x1
3 N 0.000 0.500 0.000 x2
4 F 0.500 0.500 0.500 x1

=====

[23]
Below is a relaxed structure of CsTe2NF, with properties calculated at the PBE level.

Output
relative energy among the computed polymorphs	0	meV/atom
DFT total energy	-3.051	eV/atom
ΔE_f (raw)	0.416	eV/atom

Unit cell a=4.743 b=4.743 c=5.794 alpha=90.00 beta=90.00 gamma=90.00
Space group P4/mmm (No. 123)
Symmetry-distinct sites (fractional):
1 Cs 0.000 0.000 0.000 x1
2 Te 0.000 0.500 0.500 x2
3 N 0.500 0.500 0.000 x1
4 F 0.500 0.500 0.500 x1

=====

[24]
Below is a relaxed structure of CsTe2NF, with properties calculated at the PBE level.

Output
relative energy among the computed polymorphs	1028	meV/atom
DFT total energy	-2.023	eV/atom
ΔE_f (raw)	1.444	eV/atom

Unit cell a=7.173 b=7.173 c=4.976 alpha=90.00 beta=90.00 gamma=90.00
Space group P4/mmm (No. 123)
Symmetry-distinct sites (fractional):
1 Cs 0.000 0.000 0.000 x1
2 Te 0.000 0.500 0.000 x2
3 N 0.000 0.000 0.500 x1
4 F 0.500 0.500 0.500 x1

=====

[25]
Below is a relaxed structure of Cs2TeNF6, with properties calculated at the PBE level.

Output
DFT total energy	-4.153	eV/atom
ΔE_f (raw)	-1.712	eV/atom

Unit cell a=6.873 b=6.873 c=9.760 alpha=90.00 beta=90.00 gamma=90.00
Space group I4/mmm (No. 139)
Symmetry-distinct sites (fractional):
1 Cs 0.000 0.500 0.250 x4
2 Te 0.000 0.000 0.000 x2
3 N 0.000 0.000 0.500 x2
4 F 0.000 0.000 0.214 x4
5 F 0.215 0.215 0.000 x8

=====

[26]
Below is a relaxed structure of CsTeN2F, with properties calculated at the PBE level.

Output
relative energy among the computed polymorphs	0	meV/atom
DFT total energy	-4.358	eV/atom
ΔE_f (raw)	0.146	eV/atom

Unit cell a=4.104 b=4.104 c=5.311 alpha=90.00 beta=90.00 gamma=90.00
Space group P4/mmm (No. 123)
Symmetry-distinct sites (fractional):
1 Cs 0.000 0.000 0.000 x1
2 Te 0.500 0.500 0.500 x1
3 N 0.000 0.500 0.500 x2
4 F 0.500 0.500 0.000 x1

=====

[27]
Below is a relaxed structure of CsTiNF2, with properties calculated at the PBE level.

Output
relative energy among the computed polymorphs	2378	meV/atom
DFT total energy	-3.759	eV/atom
ΔE_f (raw)	0.404	eV/atom

Unit cell a=5.065 b=5.065 c=4.484 alpha=90.00 beta=90.00 gamma=90.00
Space group P4/mmm (No. 123)
Symmetry-distinct sites (fractional):
1 Cs 0.000 0.000 0.000 x1
2 Ti 0.500 0.500 0.500 x1
3 N 0.000 0.000 0.500 x1
4 F 0.000 0.500 0.000 x2

=====

[28]
Below is a relaxed structure of CsTiNF2, with properties calculated at the PBE level.

Output
relative energy among the computed polymorphs	0	meV/atom
DFT total energy	-6.137	eV/atom
ΔE_f (raw)	-1.974	eV/atom

Unit cell a=4.448 b=4.448 c=3.886 alpha=90.00 beta=90.00 gamma=90.00
Space group P4/mmm (No. 123)
Symmetry-distinct sites (fractional):
1 Cs 0.000 0.000 0.000 x1
2 Ti 0.500 0.500 0.500 x1
3 N 0.500 0.500 0.000 x1
4 F 0.000 0.500 0.500 x2